The following is a DFT calculation (PBE) of crystalline DyZnGa2Ni at its relaxed geometry.

```
DyZnGa2Ni
1.0
-3.259 -0.610 -2.412
1.132 -3.903 -0.543
-1.729 0.872 5.601
Ga Dy Ni Zn
2 1 1 1
direct
0.620 0.620 0.240
0.380 0.380 0.760
0.000 0.000 0.000
0.750 0.250 0.500
0.250 0.750 0.500
```

***

The following is a DFT calculation (PBE) of crystalline DyZnGa2Ni5 at its relaxed geometry.

```
DyZnGa2Ni5
1.0
-2.048 -2.769 1.615
3.205 -1.743 1.075
-0.101 4.668 7.872
Ni Ga Dy Zn
5 2 1 1
direct
0.000 0.500 0.283
0.000 0.500 0.717
0.500 0.500 0.500
0.500 0.000 0.717
0.500 0.000 0.283
0.500 0.500 0.133
0.500 0.500 0.867
0.000 0.000 0.500
0.000 0.000 0.000
```

***

Ordered density of states at the Fermi level results: 0.5260; 0.4301; unit states/eV per atom.
Ordered calculated total energy results: -0.2953; -0.3424; unit Ry/atom.
Ordered ΔE_f results: -0.475; -0.121; unit eV/atom.